1.
# RbTlHg2Sb2 | the Alexandria database | PBE-GGA | optimized geometry
# * total magnetic moment: 0.00 μB per cell
# * energy relative to the elements, uncorrected: -0.17 eV/atom
# * V: 215 Å³/cell
# * mass density: 7.2 g/cm3
# * total energy: -13.2 eV/cell
data_RbTlHg2Sb2
_symmetry_space_group_name_H-M 'P 1'
_symmetry_Int_Tables_number 1
_cell_length_a 4.911
_cell_length_b 4.911
_cell_length_c 10.301
_cell_angle_alpha 90.00
_cell_angle_beta 90.00
_cell_angle_gamma 120.00
loop_
_symmetry_equiv_pos_as_xyz
'x,y,z'
loop_
_atom_site_label
_atom_site_type_symbol
_atom_site_fract_x
_atom_site_fract_y
_atom_site_fract_z
Sb1 Sb 0.333 0.667 0.266
Hg1 Hg 0.667 0.333 0.277
Sb2 Sb 0.667 0.333 0.734
Tl1 Tl 0.000 0.000 0.500
Rb1 Rb 0.000 0.000 0.000
Hg2 Hg 0.333 0.667 0.723

2.
# RbTlHg2Sb | the Alexandria database | PBE-GGA | optimized geometry
# * total magnetic moment: 1.09 μB per cell
# * energy relative to the elements, uncorrected: 0.63 eV/atom
# * V: 263 Å³/cell
# * polymorph energy (0 for the lowest one): 831.4 meV/atom
# * mass density: 5.1 g/cm3
# * total energy: -4.9 eV/cell
data_RbTlHg2Sb
_symmetry_space_group_name_H-M 'P 1'
_symmetry_Int_Tables_number 1
_cell_length_a 6.202
_cell_length_b 6.830
_cell_length_c 6.202
_cell_angle_alpha 90.00
_cell_angle_beta 90.00
_cell_angle_gamma 90.00
loop_
_symmetry_equiv_pos_as_xyz
'x,y,z'
loop_
_atom_site_label
_atom_site_type_symbol
_atom_site_fract_x
_atom_site_fract_y
_atom_site_fract_z
Sb1 Sb 0.500 0.500 0.500
Tl1 Tl 0.000 0.500 0.000
Hg1 Hg 0.500 0.000 0.000
Hg2 Hg 0.000 0.000 0.500
Rb1 Rb 0.000 0.000 0.000

3.
# Rb2Tl4HgSb3 | the Alexandria database | PBE-GGA | optimized geometry
# * total magnetic moment: 0.00 μB per cell
# * energy relative to the elements, uncorrected: -0.15 eV/atom
# * V: 373 Å³/cell
# * mass density: 6.9 g/cm3
# * total energy: -25.6 eV/cell
data_Rb2Tl4HgSb3
_symmetry_space_group_name_H-M 'P 1'
_symmetry_Int_Tables_number 1
_cell_length_a 5.315
_cell_length_b 5.315
_cell_length_c 13.196
_cell_angle_alpha 90.00
_cell_angle_beta 90.00
_cell_angle_gamma 90.00
loop_
_symmetry_equiv_pos_as_xyz
'x,y,z'
loop_
_atom_site_label
_atom_site_type_symbol
_atom_site_fract_x
_atom_site_fract_y
_atom_site_fract_z
Sb1 Sb 0.000 0.500 0.126
Rb1 Rb 0.000 0.500 0.747
Tl1 Tl 0.000 0.500 0.374
Tl2 Tl 0.000 0.000 0.000
Sb2 Sb 0.000 0.000 0.500
Rb2 Rb 0.500 0.000 0.253
Sb3 Sb 0.500 0.000 0.874
Hg1 Hg 0.500 0.500 0.500
Tl3 Tl 0.500 0.500 0.000
Tl4 Tl 0.500 0.000 0.626

4.
# Rb3Tl4Hg2Sb2 | the Alexandria database | PBE-GGA | optimized geometry
# * total magnetic moment: 0.00 μB per cell
# * energy relative to the elements, uncorrected: -0.22 eV/atom
# * V: 446 Å³/cell
# * mass density: 6.4 g/cm3
# * total energy: -23.7 eV/cell
data_Rb3Tl4Hg2Sb2
_symmetry_space_group_name_H-M 'P 1'
_symmetry_Int_Tables_number 1
_cell_length_a 4.873
_cell_length_b 4.873
_cell_length_c 19.102
_cell_angle_alpha 97.33
_cell_angle_beta 97.33
_cell_angle_gamma 90.00
loop_
_symmetry_equiv_pos_as_xyz
'x,y,z'
loop_
_atom_site_label
_atom_site_type_symbol
_atom_site_fract_x
_atom_site_fract_y
_atom_site_fract_z
Tl1 Tl 0.082 0.582 0.164
Tl2 Tl 0.582 0.082 0.164
Sb1 Sb 0.363 0.363 0.727
Hg1 Hg 0.726 0.726 0.452
Tl3 Tl 0.918 0.418 0.836
Sb2 Sb 0.637 0.637 0.273
Rb1 Rb 0.175 0.175 0.350
Hg2 Hg 0.274 0.274 0.548
Rb2 Rb 0.000 0.000 0.000
Tl4 Tl 0.418 0.918 0.836
Rb3 Rb 0.825 0.825 0.650

5.
# RbZnHg2Sb | the Alexandria database | PBE-GGA | optimized geometry
# * total magnetic moment: 0.00 μB per cell
# * energy relative to the elements, uncorrected: -0.07 eV/atom
# * V: 164 Å³/cell
# * mass density: 6.8 g/cm3
# * total energy: -7.3 eV/cell
data_RbZnHg2Sb
_symmetry_space_group_name_H-M 'P 1'
_symmetry_Int_Tables_number 1
_cell_length_a 5.518
_cell_length_b 5.518
_cell_length_c 5.376
_cell_angle_alpha 90.00
_cell_angle_beta 90.00
_cell_angle_gamma 90.00
loop_
_symmetry_equiv_pos_as_xyz
'x,y,z'
loop_
_atom_site_label
_atom_site_type_symbol
_atom_site_fract_x
_atom_site_fract_y
_atom_site_fract_z
Rb1 Rb 0.500 0.500 0.500
Hg1 Hg 0.500 0.000 0.000
Sb1 Sb 0.000 0.000 0.500
Zn1 Zn 0.000 0.000 0.000
Hg2 Hg 0.000 0.500 0.000

6.
# RbZnHgSb | the Alexandria database | PBE-GGA | optimized geometry
# * total magnetic moment: 0.00 μB per cell
# * energy relative to the elements, uncorrected: -0.26 eV/atom
# * V: 268 Å³/cell
# * mass density: 5.9 g/cm3
# * total energy: -15.4 eV/cell
data_RbZnHgSb
_symmetry_space_group_name_H-M 'P 1'
_symmetry_Int_Tables_number 1
_cell_length_a 4.561
_cell_length_b 4.561
_cell_length_c 12.891
_cell_angle_alpha 90.00
_cell_angle_beta 90.00
_cell_angle_gamma 90.00
loop_
_symmetry_equiv_pos_as_xyz
'x,y,z'
loop_
_atom_site_label
_atom_site_type_symbol
_atom_site_fract_x
_atom_site_fract_y
_atom_site_fract_z
Hg1 Hg 0.750 0.250 0.500
Rb1 Rb 0.750 0.750 0.255
Sb1 Sb 0.250 0.250 0.125
Zn1 Zn 0.250 0.750 0.000
Hg2 Hg 0.250 0.750 0.500
Zn2 Zn 0.750 0.250 0.000
Rb2 Rb 0.250 0.250 0.745
Sb2 Sb 0.750 0.750 0.875